Record 1
Below is a geometry-optimized Pm3Pr6Y2Sc structure, with properties calculated at the GGA-PBE level.

Summary:
- Volume: 33.953 A^3/atom
- E_tot: -5.16 eV per atom

Unit cell a=6.324 b=10.959 c=11.945 alpha=90.00 beta=100.15 gamma=90.00
Space group C2/m (No. 12)
Inequivalent atoms, fractional coordinates:
1 Pm 0.000 0.000 0.000 x2
2 Pm 0.000 0.333 0.000 x4
3 Pr 0.246 0.335 0.745 x8
4 Pr 0.248 0.500 0.255 x4
5 Y 0.000 0.167 0.500 x4
6 Sc 0.000 0.500 0.500 x2



Record 2
Below is a geometry-optimized Pm2PrYSc structure, with properties calculated at the GGA-PBE level.

Summary:
- Volume: 34.177 A^3/atom
- E_tot: -5.09 eV per atom

Unit cell a=8.255 b=11.522 c=7.187 alpha=90.00 beta=90.00 gamma=90.00
Space group Cmcm (No. 63)
Inequivalent atoms, fractional coordinates:
1 Pm 0.200 0.000 0.000 x8
2 Pr 0.000 0.223 0.250 x4
3 Y 0.000 0.247 0.750 x4
4 Sc 0.000 0.482 0.250 x4



> Which of these has the highest E_tot?

Pm2PrYSc